{"formula": "PaGaTeO6", "functional": "PBE", "state": "relaxed", "lattice_angstrom": [[5.352, 0.000, 0.000], [-2.676, 4.635, 0.000], [0.000, 0.000, 9.675]], "species": ["Pa", "Pa", "Ga", "Ga", "Te", "Te", "O", "O", "O", "O", "O", "O", "O", "O", "O", "O", "O", "O"], "frac_coords": [[0.000, 0.000, 0.000], [0.000, 0.000, 0.500], [0.333, 0.667, 0.250], [0.667, 0.333, 0.750], [0.333, 0.667, 0.750], [0.667, 0.333, 0.250], [0.023, 0.349, 0.132], [0.023, 0.674, 0.368], [0.326, 0.349, 0.368], [0.326, 0.977, 0.132], [0.349, 0.023, 0.632], [0.349, 0.326, 0.868], [0.651, 0.674, 0.132], [0.651, 0.977, 0.368], [0.674, 0.023, 0.868], [0.674, 0.651, 0.632], [0.977, 0.326, 0.632], [0.977, 0.651, 0.868]], "spacegroup": "No. 163", "volume_a3_per_atom": 13.34, "final_energy_ev_per_cell": -129.17}